Entry from Alexandria: a relaxed structure of Ba2SeF2 (PBEsol).

Properties
SG	I4/mmm, No. 139
final energy	-27.5	eV per formula unit
uncorrected formation energy	-3.10	eV per atom

```
Ba2SeF2
1.0
4.174 0.000 0.000
0.000 4.174 0.000
-2.087 -2.087 6.876
Ba F Se
2 2 1
direct
0.635 0.635 0.270 Ba
0.365 0.365 0.730 Ba
0.250 0.750 0.500 F
0.750 0.250 0.500 F
0.000 0.000 0.000 Se
```

***

Entry from Alexandria: a relaxed structure of ScFeTcOs2 (PBEsol).

Properties
SG	P4/mmm, No. 123
final energy	-39.3	eV per formula unit
E_form	2.394	eV per atom

```
ScFeTcOs2
1.0
-3.640 -2.390 0.707
2.220 -2.464 3.099
-1.284 2.913 3.236
Tc Fe Os Sc
1 1 2 1
direct
0.500 0.000 0.000 Tc
0.500 0.500 0.500 Fe
0.000 0.000 0.500 Os
0.000 0.500 0.000 Os
0.000 0.000 0.000 Sc
```

***

Entry from Alexandria: a relaxed structure of RbYZr2Ni (PBEsol).

Properties
SG	P4/mmm, No. 123
final energy	-22.7	eV per formula unit
E_form	1.900	eV per atom

```
RbYZr2Ni
1.0
-3.280 -0.266 -3.977
2.387 -4.256 -1.683
-3.445 -3.138 3.051
Ni Zr Y Rb
1 2 1 1
direct
0.500 0.500 0.500 Ni
0.500 0.000 0.000 Zr
0.000 0.500 0.000 Zr
0.000 0.000 0.000 Y
0.000 0.000 0.500 Rb
```

***

Entry from Alexandria: a relaxed structure of TaCrW2 (PBEsol).

Properties
SG	Immm, No. 71
final energy	-50.5	eV per formula unit
E_form	-0.011	eV per atom
excess energy over the best structure of this formula in the dataset	0.011	eV/atom

```
TaCrW2
1.0
-0.655 -2.321 -1.964
4.011 -1.703 0.674
-3.252 -0.373 3.988
Cr Ta W
1 1 2
direct
0.500 0.000 0.000 Cr
0.000 0.500 0.000 Ta
0.243 0.243 0.486 W
0.757 0.757 0.514 W
```

***

Entry from Alexandria: a relaxed structure of Se2Br (PBEsol).

Properties
SG	I4/mmm, No. 139
final energy	-9.5	eV per formula unit
excess energy over the best structure of this formula in the dataset	0.077	eV/atom
uncorrected formation energy	0.02	eV per atom

```
Se2Br
1.0
-0.447 -3.757 0.782
3.822 -0.506 -0.245
-1.220 3.153 4.910
Se Br
2 1
direct
0.244 0.244 0.488 Se
0.756 0.756 0.512 Se
0.000 0.000 0.000 Br
```

***

Entry from Alexandria: a relaxed structure of Ca2LaCo (PBEsol).

Properties
SG	Pm, No. 6
final energy	-17.1	eV per formula unit
E_form	0.063	eV per atom

```
Ca2LaCo
1.0
-1.129 -3.382 0.776
2.408 -1.457 -2.848
4.864 -0.030 6.945
Ca La Co
2 1 1
direct
0.500 0.589 0.301 Ca
0.000 0.915 0.954 Ca
0.500 0.260 0.646 La
0.000 0.736 0.599 Co
```

***

Entry from Alexandria: a relaxed structure of Pt2Rh (PBEsol).

Properties
SG	I4_1/amd, No. 141
final energy	-22.1	eV per formula unit
E_form	-0.011	eV per atom

```
Pt2Rh
1.0
-0.636 2.134 3.158
-3.667 0.531 -1.097
-0.973 -10.884 4.795
Rh Pt
4 8
direct
0.915 0.915 0.831 Rh
0.085 0.085 0.169 Rh
0.165 0.665 0.331 Rh
0.335 0.835 0.669 Rh
0.584 0.584 0.168 Pt
0.000 0.500 0.000 Pt
0.834 0.334 0.668 Pt
0.750 0.750 0.500 Pt
0.250 0.250 0.500 Pt
0.666 0.166 0.332 Pt
0.500 0.000 0.000 Pt
0.416 0.416 0.832 Pt
```

***

Entry from Alexandria: a relaxed structure of Cs2CaTcSe (PBEsol).

Properties
SG	P4/mmm, No. 123
final energy	-16.1	eV per formula unit
uncorrected formation energy	0.60	eV per atom

```
Cs2CaTcSe
1.0
-5.425 0.367 0.044
-0.258 -3.097 -6.001
-0.380 -5.990 3.107
Tc Cs Ca Se
1 2 1 1
direct
0.500 0.500 0.500 Tc
0.000 0.500 0.000 Cs
0.000 0.000 0.500 Cs
0.500 0.000 0.000 Ca
0.000 0.000 0.000 Se
```